Record 1
This record from the Alexandria database describes CdAs2Os after structural relaxation. The functional is GGA-PBE.

Calculated values
The calculated formation energy comes out at 0.63 eV per atom.

abc: 4.5447 4.5447 3.3869
angles: 90.00 90.00 90.00
With the nearest neighbours (Å) after each atom.
Space group P4/mmm (No. 123)
Unique sites:
Cd: 0.0000 0.0000 0.0000  8 As 2.83
As: 0.0000 0.5000 0.5000  4 Cd 2.83, 4 Os 2.83
Os: 0.5000 0.5000 0.0000  8 As 2.83



Record 2
This record from the Alexandria database describes Cd2As2Os after structural relaxation. The functional is GGA-PBE.

Calculated values
The calculated formation energy comes out at 0.20 eV per atom.

abc: 6.2775 6.2775 5.1112
angles: 90.00 90.00 90.00
With the nearest neighbours (Å) after each atom.
Space group P4/mbm (No. 127)
Unique sites:
Cd: 0.1791 0.3209 0.0000  6 As 3.01-3.26, 5 Cd 3.18-3.26
As: 0.1419 0.6419 0.5000  2 Os 2.42, 1 As 2.52
Os: 0.0000 0.0000 0.5000  4 As 2.42



Record 3
This record from the Alexandria database describes CdAsOs2 after structural relaxation. The functional is GGA-PBE.

Calculated values
The calculated formation energy comes out at 0.85 eV per atom. The relative energy among the computed polymorphs comes out at 571 meV/atom.

abc: 5.7629 8.9986 2.8716
angles: 90.00 118.41 90.00
With the nearest neighbours (Å) after each atom.
Space group C2/m (No. 12)
Unique sites:
Cd: 0.0000 0.0000 0.0000  4 Os 2.69, 2 Cd 2.87, 4 As 2.88-2.95
As: 0.0000 0.5000 0.0000  4 Os 2.69, 2 As 2.87, 4 Cd 2.88-2.95
Os: 0.2500 0.2500 0.5000  2 Cd 2.69, 2 As 2.69, 6 Os 2.87-2.95



Record 4
This record from the Alexandria database describes Cd2AsOs after structural relaxation. The functional is GGA-PBE.

Calculated values
The calculated formation energy comes out at 0.66 eV per atom.

abc: 6.6370 6.6370 6.6370
angles: 90.00 90.00 90.00
With the nearest neighbours (Å) after each atom.
Space group F-43m (No. 216)
Unique sites:
Cd: 0.0000 0.0000 0.0000  4 Cd 2.87, 4 Os 2.87
Cd: 0.2500 0.2500 0.2500  4 Cd 2.87, 4 As 2.87
As: 0.0000 0.0000 0.5000  4 Os 2.87, 4 Cd 2.87
Os: 0.2500 0.2500 0.7500  4 Cd 2.87, 4 As 2.87



Record 5
This record from the Alexandria database describes CdAs2Os after structural relaxation. The functional is GGA-PBE.

Calculated values
The calculated formation energy comes out at 0.18 eV per atom.

abc: 3.0438 3.0775 17.2129
angles: 90.00 90.00 90.00
With the nearest neighbours (Å) after each atom.
Space group Imm2 (No. 44)
Unique sites:
Cd: 0.0000 0.0000 0.0000  4 Cd 3.04-3.08, 6 As 3.19-3.28
As: 0.0000 0.0000 0.3566  2 Os 2.50
As: 0.0000 0.5000 0.1626  4 Os 2.56
Os: 0.0000 0.5000 0.7417  6 As 2.50-2.56



Record 6
This record from the Alexandria database describes Cd2AsOs after structural relaxation. The functional is GGA-PBE.

Calculated values
The calculated formation energy comes out at 0.58 eV per atom.

abc: 2.9158 2.9158 9.0355
angles: 90.00 90.00 90.00
With the nearest neighbours (Å) after each atom.
Space group P4/mmm (No. 123)
Unique sites:
Cd: 0.0000 0.0000 0.2251  4 Os 2.90, 4 Cd 2.92, 4 As 3.23
As: 0.5000 0.5000 0.5000  4 As 2.92, 8 Cd 3.23
Os: 0.5000 0.5000 0.0000  8 Cd 2.90, 4 Os 2.92



Record 7
This record from the Alexandria database describes CdAs2Os after structural relaxation. The functional is GGA-PBE.

Calculated values
The calculated formation energy comes out at 0.68 eV per atom.

abc: 4.0190 4.0190 8.6781
angles: 90.00 90.00 90.00
With the nearest neighbours (Å) after each atom.
Space group I-4m2 (No. 119)
Unique sites:
Cd: 0.0000 0.0000 0.0000  8 As 2.84-2.96, 4 Os 2.96
As: 0.0000 0.0000 0.5000  4 Cd 2.84, 4 As 2.96, 4 Os 2.96
As: 0.0000 0.5000 0.2500  4 Os 2.84, 4 Cd 2.96, 4 As 2.96
Os: 0.0000 0.5000 0.7500  8 As 2.84-2.96, 4 Cd 2.96



Record 8
This record from the Alexandria database describes CdAsOs3 after structural relaxation. The functional is GGA-PBE.

Calculated values
The calculated formation energy comes out at 1.47 eV per atom. The relative energy among the computed polymorphs comes out at 0 meV/atom.

abc: 4.5563 4.5563 4.5563
angles: 90.00 90.00 90.00
With the nearest neighbours (Å) after each atom.
Space group Pm-3m (No. 221)
Unique sites:
Cd: 0.0000 0.0000 0.0000  12 Os 3.22
As: 0.5000 0.5000 0.5000  6 Os 2.28
Os: 0.0000 0.5000 0.5000  2 As 2.28